# MnBeMo3

A geometry-optimized MnBeMo3 structure (PBE-GGA, the Alexandria database).

Structure (extended XYZ):
```
5
Lattice="-1.7810 -1.8481 -3.6097 -0.6594 -3.7580 2.2494 -4.0013 1.4419 1.2360" Properties=species:S:1:pos:R:3 pbc="T T T"
Mo -0.8905 -0.9241 -1.8049
Mo -0.3297 -1.8790 1.1247
Mo -2.0007 0.7210 0.6180
Be -3.2209 -2.0821 -0.0621
Mn 0.0000 0.0000 0.0000
```

Values from the calculation:
- DFT total energy (eV per atom) = -7.729
- offset from the most stable computed form (eV per atom) = 0.401
- calculated formation energy (eV/atom) = 1.349
- magnetization (μB/f.u.) = 0.00